No. 1
An optimized crystal structure of Mg2TeBr. Source: Alexandria via LeMat-Bulk, functional PBE.

Results
formation energy (no corrections) = -0.0987 eV per atom
offset from the most stable computed form = 59.68 kJ/mol of atoms
crystal system = cubic

Unit cell a=7.507 b=7.507 c=7.507 alpha=90.00 beta=90.00 gamma=90.00
Sites, in units of the cell vectors:
Mg: 0.000 0.000 0.000
Mg: 0.000 0.500 0.500
Mg: 0.250 0.250 0.250
Mg: 0.250 0.750 0.750
Mg: 0.500 0.000 0.500
Mg: 0.500 0.500 0.000
Mg: 0.750 0.250 0.750
Mg: 0.750 0.750 0.250
Te: 0.250 0.250 0.750
Te: 0.250 0.750 0.250
Te: 0.750 0.250 0.250
Te: 0.750 0.750 0.750
Br: 0.000 0.000 0.500
Br: 0.000 0.500 0.000
Br: 0.500 0.000 0.000
Br: 0.500 0.500 0.500

No. 2
An optimized crystal structure of MgTeBr2. Source: Alexandria via LeMat-Bulk, functional PBE.

Results
formation energy (no corrections) = -0.0758 eV per atom
offset from the most stable computed form = 73.79 kJ/mol of atoms
crystal system = cubic

Unit cell a=7.498 b=7.498 c=7.498 alpha=90.00 beta=90.00 gamma=90.00
Sites, in units of the cell vectors:
Mg: 0.000 0.000 0.000
Mg: 0.000 0.500 0.500
Mg: 0.500 0.000 0.500
Mg: 0.500 0.500 0.000
Te: 0.250 0.250 0.250
Te: 0.250 0.750 0.750
Te: 0.750 0.250 0.750
Te: 0.750 0.750 0.250
Br: 0.000 0.000 0.500
Br: 0.000 0.500 0.000
Br: 0.250 0.250 0.750
Br: 0.250 0.750 0.250
Br: 0.500 0.000 0.000
Br: 0.500 0.500 0.500
Br: 0.750 0.250 0.250
Br: 0.750 0.750 0.750

No. 3
An optimized crystal structure of MgTeBr. Source: Alexandria via LeMat-Bulk, functional PBE.

Results
formation energy (no corrections) = -0.8855 eV per atom
offset from the most stable computed form = 0.00 kJ/mol of atoms
crystal system = monoclinic

Unit cell a=7.893 b=6.298 c=8.210 alpha=90.00 beta=117.68 gamma=90.00
Sites, in units of the cell vectors:
Mg: 0.239 0.000 0.207
Mg: 0.259 0.596 0.750
Mg: 0.741 0.096 0.250
Mg: 0.761 0.500 0.793
Te: 0.141 0.971 0.506
Te: 0.364 0.336 0.512
Te: 0.636 0.836 0.488
Te: 0.859 0.471 0.494
Br: 0.117 0.676 0.984
Br: 0.389 0.194 0.026
Br: 0.611 0.694 0.974
Br: 0.883 0.176 0.016

No. 4
An optimized crystal structure of Mg2TeBr. Source: Alexandria via LeMat-Bulk, functional PBE.

Results
formation energy (no corrections) = -0.5350 eV per atom
offset from the most stable computed form = 17.59 kJ/mol of atoms
crystal system = orthorhombic

Unit cell a=3.948 b=4.223 c=6.636 alpha=90.00 beta=90.00 gamma=90.00
Sites, in units of the cell vectors:
Mg: 0.000 0.000 0.000
Mg: 0.000 0.500 0.500
Te: 0.500 0.000 0.500
Br: 0.500 0.500 0.000